No. 1
Below is an optimized crystal structure of B2H2Au, with properties calculated at the PBE-GGA level.

Calculated values
**Polymorph energy (0 for the lowest one)**: 177 meV/atom
**Spin magnetization**: 0.00 μB per cell
**Fermi-level density of states**: 3.06 states/eV per cell

abc: 5.525 5.525 2.633
angles: 90.00 90.00 90.00
Sites, in units of the cell vectors:
B  0.106  0.394  0.000
B  0.394  0.894  0.000
B  0.606  0.106  0.000
B  0.894  0.606  0.000
H  0.100  0.600  0.500
H  0.400  0.100  0.500
H  0.600  0.900  0.500
H  0.900  0.400  0.500
Au  0.000  0.000  0.500
Au  0.500  0.500  0.500


No. 2
Below is an optimized crystal structure of B3HAu, with properties calculated at the PBE-GGA level.

Calculated values
**Polymorph energy (0 for the lowest one)**: 0 meV/atom
**Spin magnetization**: 0.00 μB per cell
**Fermi-level density of states**: 1.77 states/eV per cell

abc: 3.540 3.540 3.540
angles: 90.00 90.00 90.00
Sites, in units of the cell vectors:
B  0.000  0.000  0.500
B  0.000  0.500  0.000
B  0.500  0.000  0.000
H  0.000  0.000  0.000
Au  0.500  0.500  0.500


No. 3
Below is an optimized crystal structure of B2H2Au, with properties calculated at the PBE-GGA level.

Calculated values
**Polymorph energy (0 for the lowest one)**: 0 meV/atom
**Spin magnetization**: 0.00 μB per cell
**Fermi-level density of states**: 2.22 states/eV per cell

abc: 2.896 2.896 9.547
angles: 90.00 90.00 90.00
Sites, in units of the cell vectors:
B  0.000  0.500  0.250
B  0.000  0.500  0.750
B  0.500  0.000  0.250
B  0.500  0.000  0.750
H  0.000  0.000  0.193
H  0.000  0.000  0.807
H  0.500  0.500  0.307
H  0.500  0.500  0.693
Au  0.000  0.000  0.500
Au  0.500  0.500  0.000


No. 4
Below is an optimized crystal structure of B2HAu2, with properties calculated at the PBE-GGA level.

Calculated values
**Polymorph energy (0 for the lowest one)**: 336 meV/atom
**Spin magnetization**: 0.00 μB per cell
**Fermi-level density of states**: 4.80 states/eV per cell

abc: 2.857 2.857 13.446
angles: 90.00 90.00 90.00
Sites, in units of the cell vectors:
B  0.000  0.500  0.250
B  0.000  0.500  0.750
B  0.500  0.000  0.250
B  0.500  0.000  0.750
H  0.000  0.000  0.000
H  0.500  0.500  0.500
Au  0.000  0.000  0.397
Au  0.000  0.000  0.603
Au  0.500  0.500  0.103
Au  0.500  0.500  0.897


No. 5
Below is an optimized crystal structure of B2HAu, with properties calculated at the PBE-GGA level.

Calculated values
**Polymorph energy (0 for the lowest one)**: 785 meV/atom
**Spin magnetization**: 1.18 μB per cell
**Fermi-level density of states**: 6.32 states/eV per cell

abc: 5.312 5.312 5.312
angles: 90.00 90.00 90.00
Sites, in units of the cell vectors:
B  0.250  0.250  0.250
B  0.250  0.250  0.750
B  0.250  0.750  0.250
B  0.250  0.750  0.750
B  0.750  0.250  0.250
B  0.750  0.250  0.750
B  0.750  0.750  0.250
B  0.750  0.750  0.750
H  0.000  0.000  0.000
H  0.000  0.500  0.500
H  0.500  0.000  0.500
H  0.500  0.500  0.000
Au  0.000  0.000  0.500
Au  0.000  0.500  0.000
Au  0.500  0.000  0.000
Au  0.500  0.500  0.500


No. 6
Below is an optimized crystal structure of HgBHIrAu, with properties calculated at the PBE-GGA level.

Calculated values
**Polymorph energy (0 for the lowest one)**: 0 meV/atom
**Spin magnetization**: 0.00 μB per cell
**Fermi-level density of states**: 1.21 states/eV per cell

abc: 18.628 2.856 2.915
angles: 90.00 98.73 90.00
Sites, in units of the cell vectors:
Hg  0.000  0.000  0.000
Hg  0.500  0.500  0.000
B  0.252  0.000  0.248
B  0.752  0.500  0.248
H  0.378  0.500  0.872
H  0.878  0.000  0.872
Ir  0.290  0.500  0.786
Ir  0.790  0.000  0.786
Au  0.147  0.500  0.147
Au  0.647  0.000  0.147


No. 7
Below is an optimized crystal structure of HgBHIrAu, with properties calculated at the PBE-GGA level.

Calculated values
**Polymorph energy (0 for the lowest one)**: 36 meV/atom
**Spin magnetization**: 0.00 μB per cell
**Fermi-level density of states**: 1.44 states/eV per cell

abc: 2.796 2.866 9.644
angles: 98.47 98.03 90.05
Sites, in units of the cell vectors:
Hg  0.000  0.000  0.000
B  0.764  0.749  0.505
H  0.659  0.141  0.287
Ir  0.218  0.202  0.410
Au  0.858  0.347  0.702


No. 8
Below is an optimized crystal structure of HgBHIrAu, with properties calculated at the PBE-GGA level.

Calculated values
**Polymorph energy (0 for the lowest one)**: 81 meV/atom
**Spin magnetization**: 0.00 μB per cell
**Fermi-level density of states**: 0.53 states/eV per cell

abc: 4.349 3.552 5.619
angles: 90.00 96.53 90.00
Sites, in units of the cell vectors:
Hg  0.000  0.000  0.000
B  0.034  0.000  0.404
H  0.397  0.500  0.735
Ir  0.057  0.500  0.581
Au  0.555  0.000  0.541


No. 9
Below is an optimized crystal structure of HgBHIrAu, with properties calculated at the PBE-GGA level.

Calculated values
**Polymorph energy (0 for the lowest one)**: 22 meV/atom
**Spin magnetization**: 0.00 μB per cell
**Fermi-level density of states**: 1.06 states/eV per cell

abc: 2.755 2.906 9.754
angles: 97.52 90.05 90.00
Sites, in units of the cell vectors:
Hg  0.000  0.000  0.000
B  0.505  0.239  0.518
H  0.506  0.832  0.729
Ir  0.005  0.779  0.607
Au  0.502  0.137  0.296


No. 10
Below is an optimized crystal structure of HgBHIrAu, with properties calculated at the PBE-GGA level.

Calculated values
**Polymorph energy (0 for the lowest one)**: 66 meV/atom
**Spin magnetization**: 0.00 μB per cell
**Fermi-level density of states**: 3.18 states/eV per cell

abc: 7.393 2.960 7.633
angles: 90.00 118.66 90.00
Sites, in units of the cell vectors:
Hg  0.000  0.000  0.000
Hg  0.500  0.500  0.000
B  0.351  0.500  0.426
B  0.851  0.000  0.426
H  0.390  0.500  0.263
H  0.890  0.000  0.263
Ir  0.151  0.000  0.417
Ir  0.651  0.500  0.417
Au  0.069  0.500  0.704
Au  0.569  0.000  0.704


No. 11
Below is an optimized crystal structure of HgBHIrAu, with properties calculated at the PBE-GGA level.

Calculated values
**Polymorph energy (0 for the lowest one)**: 99 meV/atom
**Spin magnetization**: 0.00 μB per cell
**Fermi-level density of states**: 0.32 states/eV per cell

abc: 3.910 4.243 5.420
angles: 108.33 90.38 90.00
Sites, in units of the cell vectors:
Hg  0.000  0.000  0.000
B  0.497  0.058  0.423
H  0.001  0.390  0.807
Ir  0.998  0.101  0.524
Au  0.498  0.596  0.513


No. 12
Below is an optimized crystal structure of HgBHIrAu, with properties calculated at the PBE-GGA level.

Calculated values
**Polymorph energy (0 for the lowest one)**: 189 meV/atom
**Spin magnetization**: 0.00 μB per cell
**Fermi-level density of states**: 3.30 states/eV per cell

abc: 12.675 2.881 4.528
angles: 90.00 108.35 90.00
Sites, in units of the cell vectors:
Hg  0.000  0.000  0.000
Hg  0.500  0.500  0.000
B  0.184  0.000  0.074
B  0.684  0.500  0.074
H  0.392  0.000  0.385
H  0.892  0.500  0.385
Ir  0.311  0.500  0.180
Ir  0.811  0.000  0.180
Au  0.226  0.000  0.615
Au  0.726  0.500  0.615


No. 13
Below is an optimized crystal structure of HgBHIrAu, with properties calculated at the PBE-GGA level.

Calculated values
**Polymorph energy (0 for the lowest one)**: 76 meV/atom
**Spin magnetization**: 0.00 μB per cell
**Fermi-level density of states**: 0.53 states/eV per cell

abc: 3.697 4.283 5.992
angles: 80.86 73.98 89.68
Sites, in units of the cell vectors:
Hg  0.000  0.000  0.000
B  0.178  0.028  0.608
H  0.762  0.423  0.315
Ir  0.745  0.061  0.458
Au  0.236  0.564  0.472


No. 14
Below is an optimized crystal structure of NaBH6Au, with properties calculated at the PBE-GGA level.

Calculated values
**Spin magnetization**: 0.00 μB per cell
**Fermi-level density of states**: 0.50 states/eV per cell
**Raw total energy**: -31.5 eV for the cell shown

abc: 4.599 4.629 5.307
angles: 77.22 64.42 73.22
Sites, in units of the cell vectors:
Na  0.000  0.000  0.000
B  0.648  0.118  0.592
H  0.076  0.520  0.856
H  0.424  0.615  0.159
H  0.505  0.014  0.496
H  0.563  0.078  0.844
H  0.794  0.323  0.462
H  0.936  0.897  0.495
Au  0.253  0.568  0.507


No. 15
Below is an optimized crystal structure of BHPt3Au, with properties calculated at the PBE-GGA level.

Calculated values
**Spin magnetization**: 0.00 μB per cell
**Fermi-level density of states**: 3.87 states/eV per cell
**Raw total energy**: -63.8 eV for the cell shown

abc: 6.706 6.706 7.231
angles: 99.86 99.86 30.22
Sites, in units of the cell vectors:
B  0.141  0.141  0.042
B  0.859  0.859  0.958
H  0.483  0.483  0.738
H  0.517  0.517  0.262
Pt  0.017  0.017  0.805
Pt  0.313  0.313  0.148
Pt  0.345  0.345  0.774
Pt  0.655  0.655  0.226
Pt  0.687  0.687  0.852
Pt  0.983  0.983  0.195
Au  0.148  0.148  0.531
Au  0.852  0.852  0.469


No. 16
Below is an optimized crystal structure of Rb2BH6Au, with properties calculated at the PBE-GGA level.

Calculated values
**Spin magnetization**: 0.00 μB per cell
**Fermi-level density of states**: 0.00 states/eV per cell
**Raw total energy**: -35.2 eV for the cell shown

abc: 5.867 5.867 6.379
angles: 117.27 117.27 90.01
Sites, in units of the cell vectors:
Rb  0.250  0.750  0.000
Rb  0.750  0.250  0.000
B  0.000  0.000  0.499
H  0.048  0.048  0.353
H  0.195  0.951  0.644
H  0.328  0.328  0.159
H  0.671  0.671  0.841
H  0.806  0.806  0.357
H  0.951  0.195  0.644
Au  0.500  0.500  0.500


No. 17
Below is an optimized crystal structure of SrB2HAu, with properties calculated at the PBE-GGA level.

Calculated values
**Spin magnetization**: 0.00 μB per cell
**Fermi-level density of states**: 0.62 states/eV per cell
**Raw total energy**: -18.4 eV for the cell shown

abc: 4.044 4.044 6.420
angles: 90.00 90.00 90.00
Sites, in units of the cell vectors:
Sr  0.000  0.000  0.000
B  0.000  0.500  0.500
B  0.500  0.000  0.500
H  0.500  0.500  0.000
Au  0.000  0.000  0.500


No. 18
Below is an optimized crystal structure of TlBH6Au, with properties calculated at the PBE-GGA level.

Calculated values
**Spin magnetization**: 0.00 μB per cell
**Fermi-level density of states**: 1.13 states/eV per cell
**Raw total energy**: -31.2 eV for the cell shown

abc: 4.826 5.070 5.479
angles: 70.93 83.28 82.33
Sites, in units of the cell vectors:
Tl  0.000  0.000  0.000
B  0.472  0.452  0.258
H  0.111  0.754  0.643
H  0.230  0.421  0.361
H  0.359  0.483  0.031
H  0.560  0.680  0.210
H  0.595  0.205  0.757
H  0.640  0.247  0.289
Au  0.355  0.480  0.700


No. 19
Below is an optimized crystal structure of Zr2BHAu, with properties calculated at the PBE-GGA level.

Calculated values
**Spin magnetization**: 0.00 μB per cell
**Fermi-level density of states**: 3.48 states/eV per cell
**Raw total energy**: -30.3 eV for the cell shown

abc: 4.848 4.848 3.061
angles: 90.00 90.00 90.00
Sites, in units of the cell vectors:
Zr  0.000  0.500  0.000
Zr  0.500  0.000  0.000
B  0.000  0.000  0.500
H  0.000  0.000  0.000
Au  0.500  0.500  0.500


No. 20
Below is an optimized crystal structure of HfB2Au, with properties calculated at the PBE-GGA level.

Calculated values
**Polymorph energy (0 for the lowest one)**: 58 meV/atom
**Spin magnetization**: 0.00 μB per cell
**Fermi-level density of states**: 10.42 states/eV per cell
**ΔH_f (0 K)**: 0.555 eV per atom

abc: 5.896 5.896 5.896
angles: 90.00 90.00 90.00
Sites, in units of the cell vectors:
Hf  0.000  0.000  0.000
Hf  0.000  0.500  0.500
Hf  0.500  0.000  0.500
Hf  0.500  0.500  0.000
B  0.250  0.250  0.250
B  0.250  0.250  0.750
B  0.250  0.750  0.250
B  0.250  0.750  0.750
B  0.750  0.250  0.250
B  0.750  0.250  0.750
B  0.750  0.750  0.250
B  0.750  0.750  0.750
Au  0.000  0.000  0.500
Au  0.000  0.500  0.000
Au  0.500  0.000  0.000
Au  0.500  0.500  0.500


No. 21
Below is an optimized crystal structure of HfB2Au, with properties calculated at the PBE-GGA level.

Calculated values
**Polymorph energy (0 for the lowest one)**: 0 meV/atom
**Spin magnetization**: 0.00 μB per cell
**Fermi-level density of states**: 7.12 states/eV per cell
**ΔH_f (0 K)**: 0.497 eV per atom

abc: 4.012 4.012 14.570
angles: 90.00 90.00 90.00
Sites, in units of the cell vectors:
Hf  0.000  0.000  0.000
Hf  0.000  0.500  0.250
Hf  0.500  0.000  0.750
Hf  0.500  0.500  0.500
B  0.089  0.250  0.625
B  0.250  0.589  0.875
B  0.250  0.911  0.375
B  0.411  0.250  0.125
B  0.589  0.750  0.125
B  0.750  0.089  0.375
B  0.750  0.411  0.875
B  0.911  0.750  0.625
Au  0.000  0.000  0.500
Au  0.000  0.500  0.750
Au  0.500  0.000  0.250
Au  0.500  0.500  0.000


No. 22
Below is an optimized crystal structure of HfHg2BAu, with properties calculated at the PBE-GGA level.

Calculated values
**Spin magnetization**: 0.00 μB per cell
**Fermi-level density of states**: 4.60 states/eV per cell
**ΔH_f (0 K)**: 1.155 eV per atom

abc: 5.625 5.625 4.313
angles: 90.00 90.00 90.00
Sites, in units of the cell vectors:
Hf  0.000  0.000  0.000
Hg  0.000  0.500  0.000
Hg  0.500  0.000  0.000
B  0.000  0.000  0.500
Au  0.500  0.500  0.500


No. 23
Below is an optimized crystal structure of Li2HfBAu, with properties calculated at the PBE-GGA level.

Calculated values
**Spin magnetization**: 0.00 μB per cell
**Fermi-level density of states**: 3.63 states/eV per cell
**ΔH_f (0 K)**: 1.317 eV per atom

abc: 5.412 5.412 4.138
angles: 90.00 90.00 90.00
Sites, in units of the cell vectors:
Li  0.000  0.500  0.000
Li  0.500  0.000  0.000
Hf  0.000  0.000  0.000
B  0.000  0.000  0.500
Au  0.500  0.500  0.500


No. 24
Below is an optimized crystal structure of HfMgBAu2, with properties calculated at the PBE-GGA level.

Calculated values
**Spin magnetization**: 0.00 μB per cell
**Fermi-level density of states**: 4.26 states/eV per cell
**ΔH_f (0 K)**: 0.816 eV per atom

abc: 5.226 5.226 4.413
angles: 90.00 90.00 90.00
Sites, in units of the cell vectors:
Hf  0.000  0.000  0.000
Mg  0.500  0.500  0.500
B  0.000  0.000  0.500
Au  0.000  0.500  0.000
Au  0.500  0.000  0.000


No. 25
Below is an optimized crystal structure of Hf2BMoAu, with properties calculated at the PBE-GGA level.

Calculated values
**Spin magnetization**: 0.00 μB per cell
**Fermi-level density of states**: 3.07 states/eV per cell
**ΔH_f (0 K)**: 0.104 eV per atom

abc: 4.595 4.595 4.093
angles: 90.00 90.00 90.00
Sites, in units of the cell vectors:
Hf  0.000  0.500  0.000
Hf  0.500  0.000  0.000
B  0.000  0.000  0.000
Mo  0.500  0.500  0.500
Au  0.000  0.000  0.500


No. 26
Below is an optimized crystal structure of HfBAuO2, with properties calculated at the PBE-GGA level.

Calculated values
**Energy relative to the elements, uncorrected**: -0.118 eV per atom
**Spin magnetization**: 0.00 μB per cell
**Fermi-level density of states**: 2.12 states/eV per cell

abc: 3.803 3.803 4.260
angles: 90.00 90.00 90.00
Sites, in units of the cell vectors:
Hf  0.000  0.000  0.000
B  0.500  0.500  0.500
Au  0.500  0.500  0.000
O  0.000  0.500  0.500
O  0.500  0.000  0.500


No. 27
Below is an optimized crystal structure of RbHf2BAu, with properties calculated at the PBE-GGA level.

Calculated values
**Spin magnetization**: 0.00 μB per cell
**Fermi-level density of states**: 5.81 states/eV per cell
**ΔH_f (0 K)**: 0.660 eV per atom

abc: 4.745 4.745 4.791
angles: 90.00 90.00 90.00
Sites, in units of the cell vectors:
Rb  0.000  0.000  0.000
Hf  0.000  0.500  0.500
Hf  0.500  0.000  0.500
B  0.500  0.500  0.500
Au  0.500  0.500  0.000